(1)
This record from Alexandria via LeMat-Bulk describes K2BeCl4 after structural relaxation. The functional is PBE-GGA.

a b c (Å): 6.721 6.857 8.941
angles (deg): 90.00 107.59 90.00
Space group P2_1/m (No. 11)
Unique sites:
K 0.206 0.250 0.427
K 0.293 0.250 0.961
Be 0.296 0.750 0.214
Cl 0.090 0.750 0.342
Cl 0.151 0.750 0.977
Cl 0.487 0.513 0.269

Summary:
uncorrected formation energy: -1206 kJ/mol of formula units
energy relative to the lowest polymorph listed for this composition: 0.000 eV per atom


(2)
This record from Alexandria via LeMat-Bulk describes Tm3Mg2Al after structural relaxation. The functional is PBE-GGA.

a b c (Å): 5.213 15.688 3.656
angles (deg): 90.00 90.00 90.00
Space group Cmmm (No. 65)
Unique sites:
Tm 0.000 0.000 0.000
Tm 0.000 0.342 0.000
Mg 0.000 0.173 0.500
Al 0.000 0.500 0.500

Summary:
energy relative to the lowest polymorph listed for this composition: 0.000 eV per atom
formation enthalpy at 0 K: -109 kJ/mol of formula units


(3)
This record from Alexandria via LeMat-Bulk describes TcSe2Cl after structural relaxation. The functional is PBE-GGA.

a b c (Å): 4.427 4.427 7.092
angles (deg): 90.00 90.00 90.00
Space group I-4m2 (No. 119)
Unique sites:
Tc 0.000 0.000 0.000
Se 0.000 0.000 0.500
Se 0.000 0.500 0.250
Cl 0.000 0.500 0.750

Summary:
uncorrected formation energy: 271 kJ/mol of formula units
energy relative to the lowest polymorph listed for this composition: 0.922 eV per atom


(4)
This record from Alexandria via LeMat-Bulk describes KRePt after structural relaxation. The functional is PBE-GGA.

a b c (Å): 5.515 4.515 10.466
angles (deg): 90.00 90.00 90.00
Space group Pnma (No. 62)
Unique sites:
K 0.031 0.250 0.102
Re 0.020 0.750 0.313
Pt 0.029 0.250 0.428

Summary:
energy relative to the lowest polymorph listed for this composition: 0.691 eV per atom
formation enthalpy at 0 K: 266 kJ/mol of formula units


(5)
This record from Alexandria via LeMat-Bulk describes LaSc2Al after structural relaxation. The functional is PBE-GGA.

a b c (Å): 3.590 5.369 10.604
angles (deg): 90.00 90.00 90.00
Space group Immm (No. 71)
Unique sites:
La 0.000 0.000 0.000
Sc 0.000 0.500 0.218
Al 0.000 0.000 0.500

Summary:
formation enthalpy at 0 K: -64 kJ/mol of formula units


(6)
This record from Alexandria via LeMat-Bulk describes Ba4InHg after structural relaxation. The functional is PBE-GGA.

a b c (Å): 5.947 5.947 8.491
angles (deg): 90.00 90.00 90.00
Space group P4/mmm (No. 123)
Unique sites:
Ba 0.000 0.500 0.248
In 0.000 0.000 0.000
Hg 0.500 0.500 0.500

Summary:
energy relative to the lowest polymorph listed for this composition: 0.099 eV per atom
formation enthalpy at 0 K: -142 kJ/mol of formula units


(7)
This record from Alexandria via LeMat-Bulk describes LaAl3V after structural relaxation. The functional is PBE-GGA.

a b c (Å): 5.471 5.471 5.471
angles (deg): 90.00 90.00 90.00
Space group Pm-3m (No. 221)
Unique sites:
La 0.000 0.000 0.000
Al 0.000 0.000 0.500
V 0.500 0.500 0.500

Summary:
energy relative to the lowest polymorph listed for this composition: 1.702 eV per atom
formation enthalpy at 0 K: 788 kJ/mol of formula units


(8)
This record from Alexandria via LeMat-Bulk describes PrHg2Pd2 after structural relaxation. The functional is PBE-GGA.

a b c (Å): 5.451 4.716 9.193
angles (deg): 90.00 105.74 90.00
Space group P2_1/m (No. 11)
Unique sites:
Pr 0.140 0.250 0.273
Hg 0.229 0.250 0.638
Hg 0.381 0.750 0.061
Pd 0.109 0.250 0.927
Pd 0.339 0.750 0.491

Summary:
energy relative to the lowest polymorph listed for this composition: 0.000 eV per atom
formation enthalpy at 0 K: -233 kJ/mol of formula units


(9)
This record from Alexandria via LeMat-Bulk describes SiPt2Au after structural relaxation. The functional is PBE-GGA.

a b c (Å): 3.621 3.666 5.298
angles (deg): 90.00 109.91 90.00
Space group Pm (No. 6)
Unique sites:
Si 0.000 0.000 0.000
Pt 0.236 0.000 0.462
Pt 0.862 0.500 0.714
Au 0.583 0.500 0.163

Summary:
uncorrected formation energy: -95 kJ/mol of formula units


(10)
This record from Alexandria via LeMat-Bulk describes Mg2TaFe after structural relaxation. The functional is PBE-GGA.

a b c (Å): 2.765 4.489 5.481
angles (deg): 90.00 90.00 90.00
Space group Pmmm (No. 47)
Unique sites:
Mg 0.000 0.000 0.241
Ta 0.500 0.500 0.500
Fe 0.500 0.500 0.000

Summary:
energy relative to the lowest polymorph listed for this composition: 0.284 eV per atom
formation enthalpy at 0 K: 144 kJ/mol of formula units


(11)
This record from Alexandria via LeMat-Bulk describes GdSc2Ir after structural relaxation. The functional is PBE-GGA.

a b c (Å): 6.889 6.889 6.889
angles (deg): 90.00 90.00 90.00
Space group Fm-3m (No. 225)
Unique sites:
Gd 0.000 0.000 0.000
Sc 0.250 0.250 0.250
Ir 0.000 0.000 0.500

Summary:
energy relative to the lowest polymorph listed for this composition: 0.198 eV per atom
formation enthalpy at 0 K: -109 kJ/mol of formula units


(12)
This record from Alexandria via LeMat-Bulk describes Ac2PrNi9 after structural relaxation. The functional is PBE-GGA.

a b c (Å): 5.1128 5.1128 25.5569
angles (deg): 90.00 90.00 120.00
Space group R-3m (No. 166, hexagonal axes)
Unique sites:
Ac 0.0000 0.0000 0.1360
Pr 0.0000 0.0000 0.0000
Ni 0.0000 0.0000 0.3326
Ni 0.0000 0.0000 0.5000
Ni 0.0018 0.5009 0.0780

Summary:
formation enthalpy at 0 K: -254 kJ/mol of formula units


(13)
This record from Alexandria via LeMat-Bulk describes Nd6Ir2S3Cl after structural relaxation. The functional is PBE-GGA.

a b c (Å): 18.273 4.041 8.536
angles (deg): 90.00 105.04 90.00
Space group C2/m (No. 12)
Unique sites:
Nd 0.007 0.000 0.275
Nd 0.168 0.500 0.582
Nd 0.176 0.500 0.107
Ir 0.168 0.000 0.336
S 0.000 0.500 0.500
S 0.158 0.000 0.842
Cl 0.000 0.500 0.000

Summary:
uncorrected formation energy: -1678 kJ/mol of formula units


(14)
This record from Alexandria via LeMat-Bulk describes DyEr2TmTh2 after structural relaxation. The functional is PBE-GGA.

a b c (Å): 6.513 6.828 8.667
angles (deg): 90.00 98.76 90.00
Space group P2_1/m (No. 11)
Unique sites:
Dy 0.179 0.250 0.146
Er 0.306 0.000 0.818
Tm 0.479 0.250 0.492
Th 0.018 0.750 0.497
Th 0.203 0.750 0.164

Summary:
formation enthalpy at 0 K: 103 kJ/mol of formula units


(15)
This record from Alexandria via LeMat-Bulk describes PrPaAl4 after structural relaxation. The functional is PBE-GGA.

a b c (Å): 7.945 7.945 7.945
angles (deg): 90.00 90.00 90.00
Space group F-43m (No. 216)
Unique sites:
Pr 0.000 0.000 0.000
Pa 0.250 0.250 0.750
Al 0.124 0.124 0.376

Summary:
formation enthalpy at 0 K: -182 kJ/mol of formula units


(16)
This record from Alexandria via LeMat-Bulk describes SrPmInBr6 after structural relaxation. The functional is PBE-GGA.

a b c (Å): 7.7622 7.7622 14.0734
angles (deg): 90.00 90.00 120.00
Space group P-31c (No. 163)
Unique sites:
Sr 0.3333 0.6667 0.2500
Pm 0.3333 0.6667 0.7500
In 0.0000 0.0000 0.0000
Br 0.0175 0.3720 0.6323

Summary:
uncorrected formation energy: -1470 kJ/mol of formula units


(17)
This record from Alexandria via LeMat-Bulk describes BaLaSnPb after structural relaxation. The functional is PBE-GGA.

a b c (Å): 8.238 8.238 8.238
angles (deg): 90.00 90.00 90.00
Space group F-43m (No. 216)
Unique sites:
Ba 0.000 0.000 0.000
La 0.000 0.000 0.500
Sn 0.250 0.250 0.750
Pb 0.250 0.250 0.250

Summary:
formation enthalpy at 0 K: -190 kJ/mol of formula units


(18)
This record from Alexandria via LeMat-Bulk describes TaGaSe3 after structural relaxation. The functional is PBE-GGA.

a b c (Å): 12.922 4.061 11.956
angles (deg): 90.00 90.00 90.00
Space group C2/m (No. 12)
Unique sites:
Ta 0.095 0.000 0.288
Ga 0.107 0.500 0.916
Se 0.086 0.000 0.744
Se 0.142 0.500 0.398
Se 0.172 0.000 0.108

Summary:
uncorrected formation energy: -197 kJ/mol of formula units


(19)
This record from Alexandria via LeMat-Bulk describes Mn5As after structural relaxation. The functional is PBE-GGA.

a b c (Å): 2.873 2.873 8.600
angles (deg): 90.00 90.00 90.00
Space group P4/mmm (No. 123)
Unique sites:
Mn 0.000 0.000 0.000
Mn 0.000 0.000 0.335
Mn 0.500 0.500 0.163
As 0.500 0.500 0.500

Summary:
energy relative to the lowest polymorph listed for this composition: 0.156 eV per atom
formation enthalpy at 0 K: 62 kJ/mol of formula units


(20)
This record from Alexandria via LeMat-Bulk describes RbTaIr2Rh after structural relaxation. The functional is PBE-GGA.

a b c (Å): 4.852 4.852 4.815
angles (deg): 90.00 90.00 90.00
Space group P4/mmm (No. 123)
Unique sites:
Rb 0.000 0.000 0.000
Ta 0.500 0.500 0.000
Ir 0.000 0.500 0.500
Rh 0.000 0.000 0.500

Summary:
formation enthalpy at 0 K: 1068 kJ/mol of formula units


(21)
This record from Alexandria via LeMat-Bulk describes TmPaW2N6 after structural relaxation. The functional is PBE-GGA.

a b c (Å): 10.649 9.348 6.013
angles (deg): 90.00 106.81 90.00
Space group C2/c (No. 15)
Unique sites:
Tm 0.000 0.086 0.250
Pa 0.000 0.314 0.750
W 0.204 0.403 0.266
N 0.112 0.115 0.647
N 0.123 0.241 0.114
N 0.135 0.465 0.514

Summary:
uncorrected formation energy: -939 kJ/mol of formula units


(22)
This record from Alexandria via LeMat-Bulk describes Pr2NbWN5 after structural relaxation. The functional is PBE-GGA.

a b c (Å): 3.394 13.447 10.751
angles (deg): 90.00 90.00 90.00
Space group Cmc2_1 (No. 36)
Unique sites:
Pr 0.000 0.107 0.000
Pr 0.000 0.150 0.605
Nb 0.000 0.221 0.325
W 0.000 0.473 0.769
N 0.000 0.048 0.355
N 0.000 0.281 0.953
N 0.000 0.323 0.694
N 0.000 0.371 0.310
N 0.000 0.488 0.098

Summary:
uncorrected formation energy: -873 kJ/mol of formula units


(23)
This record from Alexandria via LeMat-Bulk describes Tb4PmSm2Tm2 after structural relaxation. The functional is PBE-GGA.

a b c (Å): 15.147 5.047 7.975
angles (deg): 90.00 108.48 90.00
Space group C2/m (No. 12)
Unique sites:
Tb 0.056 0.000 0.332
Tb 0.222 0.500 0.331
Pm 0.000 0.500 0.000
Sm 0.111 0.500 0.666
Tm 0.168 0.000 0.000

Summary:
formation enthalpy at 0 K: 17 kJ/mol of formula units


(24)
This record from Alexandria via LeMat-Bulk describes BaScGa3 after structural relaxation. The functional is PBE-GGA.

a b c (Å): 5.295 5.295 5.295
angles (deg): 90.00 90.00 90.00
Space group Pm-3m (No. 221)
Unique sites:
Ba 0.000 0.000 0.000
Sc 0.500 0.500 0.500
Ga 0.000 0.500 0.500

Summary:
energy relative to the lowest polymorph listed for this composition: 0.000 eV per atom
formation enthalpy at 0 K: -53 kJ/mol of formula units